# 1
Density functional theory data (PBE) for an optimized crystal structure of Sm3Zn4Ni2.

a b c (Å): 5.784 5.784 8.377
angles (deg): 110.79 110.79 44.04
Fractional positions:
Sm 0.000 0.000 0.000
Sm 0.321 0.321 0.351
Sm 0.679 0.679 0.649
Zn 0.039 0.039 0.372
Zn 0.282 0.282 0.943
Zn 0.718 0.718 0.057
Zn 0.961 0.961 0.628
Ni 0.399 0.399 0.732
Ni 0.601 0.601 0.268

Computed properties:
Calculated total energy = -3.786 eV per atom

# 2
Density functional theory data (PBE) for an optimized crystal structure of Sm2ZnNi.

a b c (Å): 3.544 3.544 7.122
angles (deg): 90.00 90.00 90.00
Fractional positions:
Sm 0.000 0.000 0.234
Sm 0.000 0.000 0.766
Zn 0.500 0.500 0.500
Ni 0.500 0.500 0.000

Computed properties:
Calculated total energy = -4.426 eV per atom
Distance to the lowest polymorph of the same formula = 16.8 meV per atom

# 3
Density functional theory data (PBE) for an optimized crystal structure of Sm6ZnNi.

a b c (Å): 9.432 9.432 5.081
angles (deg): 105.58 105.58 31.25
Fractional positions:
Sm 0.099 0.099 0.099
Sm 0.248 0.248 0.748
Sm 0.401 0.401 0.401
Sm 0.599 0.599 0.599
Sm 0.752 0.752 0.252
Sm 0.901 0.901 0.901
Zn 0.000 0.000 0.500
Ni 0.500 0.500 0.000

Computed properties:
Calculated total energy = -4.529 eV per atom

# 4
Density functional theory data (PBE) for an optimized crystal structure of SmZnNi.

a b c (Å): 4.476 4.476 4.476
angles (deg): 60.00 60.00 60.00
Fractional positions:
Sm 0.000 0.000 0.000
Zn 0.500 0.500 0.500
Ni 0.750 0.750 0.750

Computed properties:
Calculated total energy = -4.151 eV per atom

Short version: DFT formation energy = -0.362, -0.302, -0.107, -0.227 eV/atom, in the order given.